(w)
An optimized crystal structure of CrCuBr2. Source: Alexandria, functional PBE.

a = 5.029 Å, b = 5.029 Å, c = 6.226 Å
α = 91.93°, β = 91.93°, γ = 46.82°
Element x y z (fractional)
Cr 0.000 0.000 0.000
Cu 0.708 0.708 0.939
Br 0.305 0.305 0.769
Br 0.570 0.570 0.257

Computed properties:
space-group type	Cm (8)
crystal system	monoclinic



(x)
An optimized crystal structure of CrCuBr2. Source: Alexandria, functional PBE.

a = 3.826 Å, b = 3.826 Å, c = 7.739 Å
α = 90.00°, β = 90.00°, γ = 115.03°
Element x y z (fractional)
Cr 0.000 0.000 0.000
Cu 0.500 0.500 0.206
Br 0.000 0.000 0.357
Br 0.500 0.500 0.808

Computed properties:
space-group type	Cmm2 (35)
crystal system	orthorhombic



Which is more stable than every other structure shown? (w) is more stable than every other one.